{
  "formula": "Ca2SmPb3",
  "functional": "PBE-GGA",
  "state": "relaxed",
  "cell": [[2.543, -7.715, 0.000], [2.543, 7.715, 0.000], [0.000, 0.000, 9.136]],
  "species": ["Ca", "Ca", "Ca", "Ca", "Sm", "Sm", "Pb", "Pb", "Pb", "Pb", "Pb", "Pb"],
  "fractional_positions": [[0.000, 0.000, 0.000], [0.000, 0.000, 0.500], [0.335, 0.665, 0.500], [0.665, 0.335, 0.500], [0.336, 0.664, 0.000], [0.664, 0.336, 0.000], [0.832, 0.168, 0.752], [0.500, 0.500, 0.249], [0.168, 0.832, 0.248], [0.832, 0.168, 0.248], [0.168, 0.832, 0.752], [0.500, 0.500, 0.751]],
  "relative_energy_mev_per_atom": 5,
  "rho_g_cm3": 7.9
}

{
  "formula": "CaSm2Pb9",
  "functional": "PBE-GGA",
  "state": "relaxed",
  "cell": [[-3.486, 0.022, 3.469], [-0.391, -4.889, -0.362], [10.340, -1.598, 10.400]],
  "species": ["Ca", "Sm", "Sm", "Pb", "Pb", "Pb", "Pb", "Pb", "Pb", "Pb", "Pb", "Pb"],
  "fractional_positions": [[0.000, 0.000, 0.000], [0.000, 0.000, 0.337], [0.000, 0.000, 0.663], [0.500, 0.500, 0.000], [0.500, 0.500, 0.333], [0.500, 0.500, 0.667], [0.500, 0.000, 0.167], [0.500, 0.000, 0.500], [0.500, 0.000, 0.833], [0.000, 0.500, 0.167], [0.000, 0.500, 0.500], [0.000, 0.500, 0.833]],
  "dft_energy_ev_per_atom": -4.074,
  "rho_g_cm3": 10.3
}

{
  "formula": "CaSmPb2",
  "functional": "PBE-GGA",
  "state": "relaxed",
  "cell": [[-0.225, -3.510, 2.729], [4.261, 1.637, 2.457], [-2.941, 2.737, 3.277]],
  "species": ["Pb", "Pb", "Ca", "Sm"],
  "fractional_positions": [[0.000, 0.000, 0.500], [0.000, 0.500, 0.000], [0.500, 0.000, 0.000], [0.500, 0.500, 0.500]],
  "dft_energy_ev_per_atom": -4.024,
  "rho_g_cm3": 8.4
}

{
  "formula": "CaSm2Pb2",
  "functional": "PBE-GGA",
  "state": "relaxed",
  "cell": [[4.605, 0.000, 0.000], [0.000, 8.259, 0.000], [0.000, 0.000, 8.259]],
  "species": ["Ca", "Ca", "Sm", "Sm", "Sm", "Sm", "Pb", "Pb", "Pb", "Pb"],
  "fractional_positions": [[0.000, 0.000, 0.000], [0.000, 0.500, 0.500], [0.500, 0.173, 0.673], [0.500, 0.673, 0.827], [0.500, 0.827, 0.327], [0.500, 0.327, 0.173], [0.000, 0.370, 0.870], [0.000, 0.870, 0.630], [0.000, 0.630, 0.130], [0.000, 0.130, 0.370]],
  "dft_energy_ev_per_atom": -4.289,
  "rho_g_cm3": 8.0
}